Tb2ScGeC | PBE-GGA | relaxed

a = 4.4814 Å, b = 4.8530 Å, c = 4.8530 Å
α = 90.00°, β = 90.00°, γ = 90.00°
Closest atoms and distances in Å follow each position.
Atoms (fractional coordinates):
Tb 0.0000 0.0000 0.5000  2 C 2.43
Tb 0.0000 0.5000 0.0000  2 C 2.43
Sc 0.5000 0.0000 0.0000  2 C 2.24
Ge 0.5000 0.5000 0.5000  8 Tb 3.30, 4 Sc 3.43
C 0.0000 0.0000 0.0000  2 Sc 2.24, 4 Tb 2.43

Properties
The total energy comes out at -32.32 eV/f.u.


ScTc2GeC | PBE-GGA | relaxed

a = 3.1529 Å, b = 6.4203 Å, c = 7.4449 Å
α = 90.00°, β = 90.00°, γ = 104.21°
Closest atoms and distances in Å follow each position.
Atoms (fractional coordinates):
Sc 0.4752 0.9504 0.7500  4 C 2.46
Sc 0.5248 0.0496 0.2500  4 C 2.46
Tc 0.1501 0.3001 0.9508  1 C 1.90
Tc 0.8499 0.6999 0.0492  1 C 1.90
Tc 0.1501 0.3001 0.5492  1 C 1.90
Tc 0.8499 0.6999 0.4508  1 C 1.90
Ge 0.7606 0.5213 0.7500  6 Tc 2.49-2.57
Ge 0.2394 0.4787 0.2500  6 Tc 2.49-2.57
C 0.0000 0.0000 0.0000  2 Tc 1.90
C 0.0000 0.0000 0.5000  2 Tc 1.90

Properties
As for the energy above the most stable polymorph in this dataset: 0.0000 eV per atom. The total energy comes out at -42.59 eV/f.u.


ScTc2GeC | PBE-GGA | relaxed

a = 4.0859 Å, b = 4.0859 Å, c = 4.3457 Å
α = 90.00°, β = 90.00°, γ = 90.00°
Closest atoms and distances in Å follow each position.
Atoms (fractional coordinates):
Sc 0.0000 0.0000 0.5000  2 C 2.17
C 0.0000 0.0000 0.0000  4 Tc 2.04, 2 Sc 2.17
Ge 0.5000 0.5000 0.5000  4 Sc 2.89, 8 Tc 2.98
Tc 0.0000 0.5000 0.0000  2 C 2.04
Tc 0.5000 0.0000 0.0000  2 C 2.04

Properties
As for the energy above the most stable polymorph in this dataset: 0.2119 eV per atom. The total energy comes out at -41.53 eV/f.u.


Th2Sc2Ge2C | PBE-GGA | relaxed

a = 4.4285 Å, b = 4.4285 Å, c = 8.4480 Å
α = 105.19°, β = 105.19°, γ = 90.00°
Closest atoms and distances in Å follow each position.
Atoms (fractional coordinates):
Th 0.1666 0.1666 0.3332  1 C 2.61
Th 0.8334 0.8334 0.6668  1 C 2.61
Sc 0.0000 0.5000 0.0000  2 C 2.21
Sc 0.5000 0.0000 0.0000  2 C 2.21
Ge 0.3703 0.3703 0.7406  4 Sc 3.01, 5 Th 3.18-3.20
Ge 0.6297 0.6297 0.2594  4 Sc 3.01, 5 Th 3.18-3.20
C 0.0000 0.0000 0.0000  4 Sc 2.21

Properties
The total energy comes out at -51.41 eV/f.u.


| no. | ΔE_f (meV/atom) |
| --- | --- |
| 1 | -578 |
| 2 | -337 |
| 3 | -125 |
| 4 | -779 |